This record from Alexandria describes a relaxed structure of LaTh2Pt. The functional is PBE.

Lattice parameters (Å, degrees): 7.3106 10.1787 6.4316 90.00 90.00 90.00
Fractional positions:
La  0.0378  0.2500  0.1481
La  0.4622  0.7500  0.6481
La  0.5378  0.2500  0.3519
La  0.9622  0.7500  0.8519
Th  0.1851  0.0568  0.6413
Th  0.1851  0.4432  0.6413
Th  0.3149  0.5568  0.1413
Th  0.3149  0.9432  0.1413
Th  0.6851  0.0568  0.8587
Th  0.6851  0.4432  0.8587
Th  0.8149  0.5568  0.3587
Th  0.8149  0.9432  0.3587
Pt  0.1085  0.7500  0.3836
Pt  0.3915  0.2500  0.8836
Pt  0.6085  0.7500  0.1164
Pt  0.8915  0.2500  0.6164

Properties
Calculated density   11.076 g/cm³
ΔE_f   -0.58 eV/atom